Record 1
# ReAg3, relaxed, DFT PBE
# Formation energy   0.992 eV per atom
# Space-group type   Pm-3n, No. 223
# Energy relative to the lowest polymorph listed for this composition   0.604 eV/atom
data_ReAg3
_symmetry_space_group_name_H-M 'P 1'
_symmetry_Int_Tables_number 1
_symmetry_space_group_name_Hall 'P 1'
_cell_length_a 5.247
_cell_length_b 5.247
_cell_length_c 5.247
_cell_angle_alpha 90.00
_cell_angle_beta 90.00
_cell_angle_gamma 90.00
loop_
_atom_site_label
_atom_site_type_symbol
_atom_site_fract_x
_atom_site_fract_y
_atom_site_fract_z
Re1 Re 0.000 0.000 0.000
Re2 Re 0.500 0.500 0.500
Ag1 Ag 0.000 0.250 0.500
Ag2 Ag 0.000 0.750 0.500
Ag3 Ag 0.250 0.500 0.000
Ag4 Ag 0.500 0.000 0.250
Ag5 Ag 0.500 0.000 0.750
Ag6 Ag 0.750 0.500 0.000

Record 2
# Fe3Ni12Pd, relaxed, DFT PBE
# Formation energy   -0.058 eV per atom
# Space-group type   P4/mmm, No. 123
data_Fe3Ni12Pd
_symmetry_space_group_name_H-M 'P 1'
_symmetry_Int_Tables_number 1
_symmetry_space_group_name_Hall 'P 1'
_cell_length_a 3.570
_cell_length_b 3.570
_cell_length_c 14.277
_cell_angle_alpha 90.00
_cell_angle_beta 90.00
_cell_angle_gamma 90.00
loop_
_atom_site_label
_atom_site_type_symbol
_atom_site_fract_x
_atom_site_fract_y
_atom_site_fract_z
Fe1 Fe 0.000 0.000 0.252
Fe2 Fe 0.000 0.000 0.500
Fe3 Fe 0.000 0.000 0.748
Ni1 Ni 0.500 0.500 0.000
Ni2 Ni 0.500 0.500 0.254
Ni3 Ni 0.500 0.500 0.500
Ni4 Ni 0.500 0.500 0.746
Ni5 Ni 0.500 0.000 0.132
Ni6 Ni 0.500 0.000 0.377
Ni7 Ni 0.500 0.000 0.623
Ni8 Ni 0.500 0.000 0.868
Ni9 Ni 0.000 0.500 0.132
Ni10 Ni 0.000 0.500 0.377
Ni11 Ni 0.000 0.500 0.623
Ni12 Ni 0.000 0.500 0.868
Pd1 Pd 0.000 0.000 0.000

Record 3
# KTlSn, relaxed, DFT PBE
# Formation energy   -0.176 eV per atom
# Space-group type   Cm, No. 8
data_KTlSn
_symmetry_space_group_name_H-M 'P 1'
_symmetry_Int_Tables_number 1
_symmetry_space_group_name_Hall 'P 1'
_cell_length_a 7.559
_cell_length_b 8.065
_cell_length_c 8.065
_cell_angle_alpha 148.40
_cell_angle_beta 118.44
_cell_angle_gamma 61.56
loop_
_atom_site_label
_atom_site_type_symbol
_atom_site_fract_x
_atom_site_fract_y
_atom_site_fract_z
K1 K 0.464 0.274 0.726
K2 K 0.801 0.938 0.062
Tl1 Tl 0.369 0.601 0.399
Tl2 Tl 0.996 0.228 0.772
Sn1 Sn 0.241 0.990 0.010
Sn2 Sn 0.935 0.592 0.408

Record 4
# Dy5HoHg4, relaxed, DFT PBE
# Formation energy   -0.368 eV per atom
# Space-group type   P4/mmm, No. 123
data_Dy5HoHg4
_symmetry_space_group_name_H-M 'P 1'
_symmetry_Int_Tables_number 1
_symmetry_space_group_name_Hall 'P 1'
_cell_length_a 3.672
_cell_length_b 3.672
_cell_length_c 20.091
_cell_angle_alpha 90.00
_cell_angle_beta 90.00
_cell_angle_gamma 90.00
loop_
_atom_site_label
_atom_site_type_symbol
_atom_site_fract_x
_atom_site_fract_y
_atom_site_fract_z
Dy1 Dy 0.500 0.500 0.121
Dy2 Dy 0.500 0.500 0.312
Dy3 Dy 0.500 0.500 0.500
Dy4 Dy 0.500 0.500 0.688
Dy5 Dy 0.500 0.500 0.879
Ho1 Ho 0.000 0.000 0.000
Hg1 Hg 0.000 0.000 0.215
Hg2 Hg 0.000 0.000 0.405
Hg3 Hg 0.000 0.000 0.595
Hg4 Hg 0.000 0.000 0.785

Record 5
# TmHgPtAu, relaxed, DFT PBE
# Formation energy   -0.661 eV per atom
# Space-group type   F-43m, No. 216
data_TmHgPtAu
_symmetry_space_group_name_H-M 'P 1'
_symmetry_Int_Tables_number 1
_symmetry_space_group_name_Hall 'P 1'
_cell_length_a 4.846
_cell_length_b 4.846
_cell_length_c 4.846
_cell_angle_alpha 60.00
_cell_angle_beta 60.00
_cell_angle_gamma 60.00
loop_
_atom_site_label
_atom_site_type_symbol
_atom_site_fract_x
_atom_site_fract_y
_atom_site_fract_z
Tm1 Tm 0.750 0.750 0.750
Au1 Au 0.500 0.500 0.500
Hg1 Hg 0.250 0.250 0.250
Pt1 Pt 0.000 0.000 0.000

Record 6
# Dy3TmHg7, relaxed, DFT PBE
# Formation energy   -0.213 eV per atom
# Space-group type   Cmcm, No. 63
data_Dy3TmHg7
_symmetry_space_group_name_H-M 'P 1'
_symmetry_Int_Tables_number 1
_symmetry_space_group_name_Hall 'P 1'
_cell_length_a 3.610
_cell_length_b 15.718
_cell_length_c 12.566
_cell_angle_alpha 90.00
_cell_angle_beta 90.00
_cell_angle_gamma 96.59
loop_
_atom_site_label
_atom_site_type_symbol
_atom_site_fract_x
_atom_site_fract_y
_atom_site_fract_z
Dy1 Dy 0.068 0.137 0.453
Dy2 Dy 0.932 0.863 0.547
Dy3 Dy 0.188 0.376 0.750
Dy4 Dy 0.812 0.624 0.250
Dy5 Dy 0.068 0.137 0.047
Dy6 Dy 0.932 0.863 0.953
Tm1 Tm 0.929 0.857 0.250
Tm2 Tm 0.071 0.143 0.750
Hg1 Hg 0.420 0.840 0.750
Hg2 Hg 0.580 0.160 0.250
Hg3 Hg 0.489 0.977 0.381
Hg4 Hg 0.511 0.023 0.619
Hg5 Hg 0.511 0.023 0.881
Hg6 Hg 0.489 0.977 0.119
Hg7 Hg 0.373 0.746 0.399
Hg8 Hg 0.627 0.254 0.601
Hg9 Hg 0.270 0.541 0.422
Hg10 Hg 0.730 0.459 0.578
Hg11 Hg 0.730 0.459 0.922
Hg12 Hg 0.270 0.541 0.078
Hg13 Hg 0.373 0.746 0.101
Hg14 Hg 0.627 0.254 0.899

Computed spin magnetization (Bohr magnetons per cell) in order:
6.81, 16.98, 0.00, 0.00, 0.00, 0.00